Record 1
{"formula": "RbCoSbTe2", "functional": "PBE", "state": "relaxed", "sg": "P4/mmm, No. 123", "e_above_lowest_polymorph_kj_per_mol_atoms": 0.0, "formation_energy_uncorrected_ev_per_atom": -0.041, "lattice": [[5.5355, 0.0000, 0.0000], [0.0000, 5.5355, 0.0000], [0.0000, 0.0000, 4.8073]], "species": ["Rb", "Co", "Sb", "Te", "Te"], "frac_coords": [[0.0000, 0.0000, 0.0000], [0.5000, 0.5000, 0.5000], [0.5000, 0.5000, 0.0000], [0.0000, 0.5000, 0.5000], [0.5000, 0.0000, 0.5000]]}



Record 2
{"formula": "RbScCo2", "functional": "PBE", "state": "relaxed", "formation_energy_kj_per_mol_atoms": 110.0, "sg": "Fm-3m, No. 225", "e_above_lowest_polymorph_kj_per_mol_atoms": 19.8, "lattice": [[0.0000, 3.3479, 3.3479], [3.3479, 0.0000, 3.3479], [3.3479, 3.3479, 0.0000]], "species": ["Rb", "Sc", "Co", "Co"], "frac_coords": [[0.0000, 0.0000, 0.0000], [0.5000, 0.5000, 0.5000], [0.2500, 0.2500, 0.2500], [0.7500, 0.7500, 0.7500]]}



Record 3
{"formula": "RbSc2Co", "functional": "PBE", "state": "relaxed", "formation_energy_kj_per_mol_atoms": 52.7, "sg": "I4_1/amd, No. 141", "e_above_lowest_polymorph_kj_per_mol_atoms": 35.8, "lattice": [[-3.7871, 3.7871, 5.3345], [3.7871, -3.7871, 5.3345], [3.7871, 3.7871, -5.3345]], "species": ["Rb", "Rb", "Sc", "Sc", "Sc", "Sc", "Co", "Co"], "frac_coords": [[0.3750, 0.6250, 0.7500], [0.6250, 0.3750, 0.2500], [0.0000, 0.0000, 0.0000], [0.0000, 0.0000, 0.5000], [0.0000, 0.5000, 0.0000], [0.5000, 0.0000, 0.5000], [0.1250, 0.8750, 0.2500], [0.8750, 0.1250, 0.7500]]}



Record 4
{"formula": "RbScCo3", "functional": "PBE", "state": "relaxed", "formation_energy_kj_per_mol_atoms": 202.9, "sg": "Pm-3m, No. 221", "e_above_lowest_polymorph_kj_per_mol_atoms": 71.6, "lattice": [[4.5481, 0.0000, 0.0000], [0.0000, 4.5481, 0.0000], [0.0000, 0.0000, 4.5481]], "species": ["Rb", "Sc", "Co", "Co", "Co"], "frac_coords": [[0.0000, 0.0000, 0.0000], [0.5000, 0.5000, 0.5000], [0.0000, 0.0000, 0.5000], [0.0000, 0.5000, 0.0000], [0.5000, 0.0000, 0.0000]]}



Record 5
{"formula": "RbScCo3", "functional": "PBE", "state": "relaxed", "formation_energy_kj_per_mol_atoms": 131.3, "sg": "Pm-3m, No. 221", "e_above_lowest_polymorph_kj_per_mol_atoms": 0.0, "lattice": [[4.9126, 0.0000, 0.0000], [0.0000, 4.9126, 0.0000], [0.0000, 0.0000, 4.9126]], "species": ["Rb", "Sc", "Co", "Co", "Co"], "frac_coords": [[0.0000, 0.0000, 0.0000], [0.5000, 0.5000, 0.5000], [0.0000, 0.5000, 0.5000], [0.5000, 0.0000, 0.5000], [0.5000, 0.5000, 0.0000]]}



Record 6
{"formula": "RbSc2Co", "functional": "PBE", "state": "relaxed", "formation_energy_kj_per_mol_atoms": 16.9, "sg": "R-3m, No. 166", "e_above_lowest_polymorph_kj_per_mol_atoms": 0.0, "lattice": [[1.8810, 1.0860, 10.0881], [-1.8810, 1.0860, 10.0881], [0.0000, -2.1720, 10.0881]], "species": ["Rb", "Sc", "Sc", "Co"], "frac_coords": [[0.0000, 0.0000, 0.0000], [0.1252, 0.1252, 0.1252], [0.8748, 0.8748, 0.8748], [0.5000, 0.5000, 0.5000]]}



Record 7
{"formula": "Rb2ScCo", "functional": "PBE", "state": "relaxed", "formation_energy_kj_per_mol_atoms": 146.4, "sg": "Fm-3m, No. 225", "e_above_lowest_polymorph_kj_per_mol_atoms": 71.5, "lattice": [[0.0000, 4.1218, 4.1218], [4.1218, 0.0000, 4.1218], [4.1218, 4.1218, 0.0000]], "species": ["Rb", "Rb", "Sc", "Co"], "frac_coords": [[0.2500, 0.2500, 0.2500], [0.7500, 0.7500, 0.7500], [0.0000, 0.0000, 0.0000], [0.5000, 0.5000, 0.5000]]}



Record 8
{"formula": "Rb2ScCo", "functional": "PBE", "state": "relaxed", "formation_energy_kj_per_mol_atoms": 74.9, "sg": "I-42d, No. 122", "e_above_lowest_polymorph_kj_per_mol_atoms": 0.0, "lattice": [[-6.6313, 6.6313, 2.2699], [6.6313, -6.6313, 2.2699], [6.6313, 6.6313, -2.2699]], "species": ["Rb", "Rb", "Rb", "Rb", "Sc", "Sc", "Co", "Co"], "frac_coords": [[0.3750, 0.2053, 0.3303], [0.7947, 0.1250, 0.1697], [0.8750, 0.0447, 0.6697], [0.9553, 0.6250, 0.8303], [0.2500, 0.7500, 0.5000], [0.5000, 0.5000, 0.0000], [0.0000, 0.0000, 0.0000], [0.7500, 0.2500, 0.5000]]}



Record 9
{"formula": "RbScCo2", "functional": "PBE", "state": "relaxed", "formation_energy_kj_per_mol_atoms": 90.2, "sg": "I4_1/amd, No. 141", "e_above_lowest_polymorph_kj_per_mol_atoms": 0.0, "lattice": [[-2.4591, 2.4591, 8.6552], [2.4591, -2.4591, 8.6552], [2.4591, 2.4591, -8.6552]], "species": ["Rb", "Rb", "Sc", "Sc", "Co", "Co", "Co", "Co"], "frac_coords": [[0.3750, 0.6250, 0.7500], [0.6250, 0.3750, 0.2500], [0.1250, 0.8750, 0.2500], [0.8750, 0.1250, 0.7500], [0.0000, 0.0000, 0.0000], [0.0000, 0.0000, 0.5000], [0.0000, 0.5000, 0.0000], [0.5000, 0.0000, 0.5000]]}



Record 10
{"formula": "RbSc2Co", "functional": "PBE", "state": "relaxed", "formation_energy_kj_per_mol_atoms": 79.9, "sg": "Fm-3m, No. 225", "e_above_lowest_polymorph_kj_per_mol_atoms": 62.9, "lattice": [[0.0000, 3.5216, 3.5216], [3.5216, 0.0000, 3.5216], [3.5216, 3.5216, 0.0000]], "species": ["Rb", "Sc", "Sc", "Co"], "frac_coords": [[0.0000, 0.0000, 0.0000], [0.2500, 0.2500, 0.2500], [0.7500, 0.7500, 0.7500], [0.5000, 0.5000, 0.5000]]}



Record 11
{"formula": "Rb2ScTaCo", "functional": "PBE", "state": "relaxed", "formation_energy_kj_per_mol_atoms": 198.2, "sg": "P4/mmm, No. 123", "lattice": [[6.7160, 0.0000, 0.0000], [0.0000, 6.7160, 0.0000], [0.0000, 0.0000, 4.8586]], "species": ["Rb", "Rb", "Sc", "Ta", "Co"], "frac_coords": [[0.0000, 0.5000, 0.0000], [0.5000, 0.0000, 0.0000], [0.0000, 0.0000, 0.0000], [0.0000, 0.0000, 0.5000], [0.5000, 0.5000, 0.5000]]}



Record 12
{"formula": "Rb2ScVCo", "functional": "PBE", "state": "relaxed", "formation_energy_kj_per_mol_atoms": 155.8, "sg": "P4/mmm, No. 123", "lattice": [[6.5790, 0.0000, 0.0000], [0.0000, 6.5790, 0.0000], [0.0000, 0.0000, 4.5282]], "species": ["Rb", "Rb", "Sc", "V", "Co"], "frac_coords": [[0.0000, 0.5000, 0.0000], [0.5000, 0.0000, 0.0000], [0.0000, 0.0000, 0.5000], [0.5000, 0.5000, 0.5000], [0.0000, 0.0000, 0.0000]]}